(1)
This record from Alexandria describes crystalline Ba2NaUS5 at its relaxed geometry. The functional is PBE-GGA.

a = 8.754 Å, b = 8.754 Å, c = 8.754 Å
α = 145.86°, β = 129.08°, γ = 62.73°
Element x y z (fractional)
Ba (0.211, 0.211, 0.000)
Ba (0.789, 0.789, 0.000)
Na (0.500, 0.000, 0.500)
U (0.000, 0.500, 0.500)
S (0.000, 0.000, 0.000)
S (0.107, 0.371, 0.736)
S (0.364, 0.629, 0.736)
S (0.636, 0.371, 0.264)
S (0.893, 0.629, 0.264)

Values from the calculation:
VASP energy = -51.29 eV per cell
Fermi-level density of states = 0.295 states/eV/atom


(2)
This record from Alexandria describes crystalline BaNaVS4 at its relaxed geometry. The functional is PBE-GGA.

a = 6.523 Å, b = 9.690 Å, c = 12.180 Å
α = 90.00°, β = 109.47°, γ = 90.00°
Element x y z (fractional)
Ba (0.123, 0.117, 0.344)
Ba (0.123, 0.383, 0.844)
Ba (0.877, 0.617, 0.156)
Ba (0.877, 0.883, 0.656)
Na (0.281, 0.636, 0.516)
Na (0.281, 0.864, 0.016)
Na (0.719, 0.136, 0.984)
Na (0.719, 0.364, 0.484)
V (0.380, 0.115, 0.687)
V (0.380, 0.385, 0.187)
V (0.620, 0.615, 0.813)
V (0.620, 0.885, 0.313)
S (0.183, 0.214, 0.094)
S (0.183, 0.286, 0.594)
S (0.280, 0.665, 0.763)
S (0.280, 0.835, 0.263)
S (0.287, 0.067, 0.838)
S (0.287, 0.433, 0.338)
S (0.320, 0.564, 0.077)
S (0.320, 0.936, 0.577)
S (0.680, 0.064, 0.423)
S (0.680, 0.436, 0.923)
S (0.713, 0.567, 0.662)
S (0.713, 0.933, 0.162)
S (0.720, 0.165, 0.737)
S (0.720, 0.335, 0.237)
S (0.817, 0.714, 0.406)
S (0.817, 0.786, 0.906)

Values from the calculation:
VASP energy = -152.14 eV per cell


(3)
This record from Alexandria describes crystalline BaNa2VS4 at its relaxed geometry. The functional is PBE-GGA.

a = 7.187 Å, b = 7.187 Å, c = 7.956 Å
α = 90.00°, β = 90.00°, γ = 90.00°
Element x y z (fractional)
Ba (0.000, 0.000, 0.000)
Ba (0.500, 0.500, 0.500)
Na (0.000, 0.500, 0.250)
Na (0.000, 0.500, 0.750)
Na (0.500, 0.000, 0.250)
Na (0.500, 0.000, 0.750)
V (0.000, 0.000, 0.500)
V (0.500, 0.500, 0.000)
S (0.182, 0.182, 0.344)
S (0.182, 0.818, 0.656)
S (0.318, 0.318, 0.844)
S (0.318, 0.682, 0.156)
S (0.682, 0.318, 0.156)
S (0.682, 0.682, 0.844)
S (0.818, 0.182, 0.656)
S (0.818, 0.818, 0.344)

Values from the calculation:
VASP energy = -80.47 eV per cell
Fermi-level density of states = 0.556 states/eV/atom


(4)
This record from Alexandria describes crystalline BaNaVS4 at its relaxed geometry. The functional is PBE-GGA.

a = 6.668 Å, b = 6.762 Å, c = 8.619 Å
α = 90.00°, β = 108.83°, γ = 90.00°
Element x y z (fractional)
Ba (0.218, 0.250, 0.425)
Ba (0.782, 0.750, 0.575)
Na (0.278, 0.250, 0.954)
Na (0.722, 0.750, 0.046)
V (0.284, 0.750, 0.194)
V (0.716, 0.250, 0.806)
S (0.086, 0.750, 0.353)
S (0.108, 0.750, 0.941)
S (0.496, 0.001, 0.252)
S (0.496, 0.499, 0.252)
S (0.504, 0.501, 0.748)
S (0.504, 0.999, 0.748)
S (0.892, 0.250, 0.059)
S (0.914, 0.250, 0.647)

Values from the calculation:
VASP energy = -75.85 eV per cell


(5)
This record from Alexandria describes crystalline BaNaZnS2 at its relaxed geometry. The functional is PBE-GGA.

a = 7.353 Å, b = 4.913 Å, c = 7.924 Å
α = 90.00°, β = 101.04°, γ = 90.00°
Element x y z (fractional)
Ba (0.000, 0.211, 0.250)
Ba (0.000, 0.789, 0.750)
Na (0.500, 0.485, 0.750)
Na (0.500, 0.515, 0.250)
Zn (0.500, 0.000, 0.000)
Zn (0.500, 0.000, 0.500)
S (0.239, 0.289, 0.957)
S (0.239, 0.711, 0.457)
S (0.761, 0.289, 0.543)
S (0.761, 0.711, 0.043)

Values from the calculation:
VASP energy = -35.48 eV per cell
Fermi-level density of states = 0.595 states/eV/atom


(6)
This record from Alexandria describes crystalline BaNaZrS2 at its relaxed geometry. The functional is PBE-GGA.

a = 5.125 Å, b = 5.125 Å, c = 5.921 Å
α = 90.00°, β = 90.00°, γ = 90.00°
Element x y z (fractional)
Ba (0.000, 0.000, 0.000)
Na (0.500, 0.500, 0.000)
Zr (0.000, 0.000, 0.500)
S (0.000, 0.500, 0.500)
S (0.500, 0.000, 0.500)

Values from the calculation:
VASP energy = -22.13 eV per cell
Fermi-level density of states = 0.841 states/eV/atom


(7)
This record from Alexandria describes crystalline BaNaSb3 at its relaxed geometry. The functional is PBE-GGA.

a = 5.545 Å, b = 5.545 Å, c = 5.545 Å
α = 90.00°, β = 90.00°, γ = 90.00°
Element x y z (fractional)
Ba (0.000, 0.000, 0.000)
Na (0.500, 0.500, 0.500)
Sb (0.000, 0.500, 0.500)
Sb (0.500, 0.000, 0.500)
Sb (0.500, 0.500, 0.000)

Values from the calculation:
VASP energy = -15.83 eV per cell
Fermi-level density of states = 0.625 states/eV/atom


(8)
This record from Alexandria describes crystalline Ba3Na4Sb4 at its relaxed geometry. The functional is PBE-GGA.

a = 9.924 Å, b = 9.924 Å, c = 9.924 Å
α = 149.39°, β = 131.00°, γ = 58.89°
Element x y z (fractional)
Ba (0.000, 0.000, 0.000)
Ba (0.372, 0.872, 0.500)
Ba (0.628, 0.128, 0.500)
Na (0.023, 0.325, 0.698)
Na (0.373, 0.675, 0.698)
Na (0.627, 0.325, 0.302)
Na (0.977, 0.675, 0.302)
Sb (0.211, 0.211, 0.000)
Sb (0.323, 0.500, 0.823)
Sb (0.677, 0.500, 0.177)
Sb (0.789, 0.789, 0.000)

Values from the calculation:
VASP energy = -35.88 eV per cell
Fermi-level density of states = 0.218 states/eV/atom


(9)
This record from Alexandria describes crystalline BaNaSb2 at its relaxed geometry. The functional is PBE-GGA.

a = 8.872 Å, b = 4.933 Å, c = 12.994 Å
α = 90.00°, β = 90.00°, γ = 90.00°
Element x y z (fractional)
Ba (0.145, 0.250, 0.162)
Ba (0.355, 0.750, 0.662)
Ba (0.645, 0.250, 0.338)
Ba (0.855, 0.750, 0.838)
Na (0.142, 0.250, 0.443)
Na (0.358, 0.750, 0.943)
Na (0.642, 0.250, 0.057)
Na (0.858, 0.750, 0.557)
Sb (0.039, 0.250, 0.670)
Sb (0.163, 0.250, 0.870)
Sb (0.337, 0.750, 0.370)
Sb (0.461, 0.750, 0.170)
Sb (0.539, 0.250, 0.830)
Sb (0.663, 0.250, 0.630)
Sb (0.837, 0.750, 0.130)
Sb (0.961, 0.750, 0.330)

Values from the calculation:
VASP energy = -55.61 eV per cell
Fermi-level density of states = 0.497 states/eV/atom


(10)
This record from Alexandria describes crystalline BaNaSb2 at its relaxed geometry. The functional is PBE-GGA.

a = 5.571 Å, b = 5.571 Å, c = 20.335 Å
α = 90.00°, β = 90.00°, γ = 90.00°
Element x y z (fractional)
Ba (0.000, 0.000, 0.000)
Ba (0.000, 0.500, 0.250)
Ba (0.500, 0.000, 0.750)
Ba (0.500, 0.500, 0.500)
Na (0.000, 0.000, 0.500)
Na (0.000, 0.500, 0.750)
Na (0.500, 0.000, 0.250)
Na (0.500, 0.500, 0.000)
Sb (0.123, 0.250, 0.625)
Sb (0.250, 0.623, 0.875)
Sb (0.250, 0.877, 0.375)
Sb (0.377, 0.250, 0.125)
Sb (0.623, 0.750, 0.125)
Sb (0.750, 0.123, 0.375)
Sb (0.750, 0.377, 0.875)
Sb (0.877, 0.750, 0.625)

Values from the calculation:
VASP energy = -53.14 eV per cell
Fermi-level density of states = 0.201 states/eV/atom


(11)
This record from Alexandria describes crystalline BaNa2Sb2 at its relaxed geometry. The functional is PBE-GGA.

a = 5.028 Å, b = 4.906 Å, c = 13.710 Å
α = 90.00°, β = 93.88°, γ = 90.00°
Element x y z (fractional)
Ba (0.199, 0.250, 0.261)
Ba (0.801, 0.750, 0.739)
Na (0.251, 0.750, 0.499)
Na (0.319, 0.250, 0.865)
Na (0.681, 0.750, 0.135)
Na (0.749, 0.250, 0.501)
Sb (0.172, 0.750, 0.000)
Sb (0.277, 0.250, 0.649)
Sb (0.723, 0.750, 0.351)
Sb (0.828, 0.250, 0.000)

Values from the calculation:
VASP energy = -31.52 eV per cell
Fermi-level density of states = 0.401 states/eV/atom


(12)
This record from Alexandria describes crystalline BaNa4Sb4 at its relaxed geometry. The functional is PBE-GGA.

a = 10.205 Å, b = 10.205 Å, c = 6.387 Å
α = 90.00°, β = 90.00°, γ = 90.00°
Element x y z (fractional)
Ba (0.250, 0.250, 0.250)
Ba (0.750, 0.750, 0.750)
Na (0.100, 0.635, 0.127)
Na (0.135, 0.900, 0.627)
Na (0.365, 0.600, 0.627)
Na (0.400, 0.865, 0.127)
Na (0.600, 0.135, 0.873)
Na (0.635, 0.400, 0.373)
Na (0.865, 0.100, 0.373)
Na (0.900, 0.365, 0.873)
Sb (0.056, 0.595, 0.632)
Sb (0.095, 0.944, 0.132)
Sb (0.405, 0.556, 0.132)
Sb (0.444, 0.905, 0.632)
Sb (0.556, 0.095, 0.368)
Sb (0.595, 0.444, 0.868)
Sb (0.905, 0.056, 0.868)
Sb (0.944, 0.405, 0.368)

Values from the calculation:
VASP energy = -53.72 eV per cell
Fermi-level density of states = 0.755 states/eV/atom


(13)
This record from Alexandria describes crystalline BaNaSb3 at its relaxed geometry. The functional is PBE-GGA.

a = 6.328 Å, b = 6.328 Å, c = 6.328 Å
α = 90.00°, β = 90.00°, γ = 90.00°
Element x y z (fractional)
Ba (0.000, 0.000, 0.000)
Na (0.500, 0.500, 0.500)
Sb (0.000, 0.000, 0.500)
Sb (0.000, 0.500, 0.000)
Sb (0.500, 0.000, 0.000)

Values from the calculation:
VASP energy = -12.91 eV per cell
Fermi-level density of states = 0.685 states/eV/atom


(14)
This record from Alexandria describes crystalline BaNaSb2 at its relaxed geometry. The functional is PBE-GGA.

a = 8.127 Å, b = 8.127 Å, c = 8.127 Å
α = 90.00°, β = 90.00°, γ = 90.00°
Element x y z (fractional)
Ba (0.000, 0.000, 0.000)
Ba (0.000, 0.500, 0.500)
Ba (0.500, 0.000, 0.500)
Ba (0.500, 0.500, 0.000)
Na (0.000, 0.000, 0.500)
Na (0.000, 0.500, 0.000)
Na (0.500, 0.000, 0.000)
Na (0.500, 0.500, 0.500)
Sb (0.250, 0.250, 0.250)
Sb (0.250, 0.250, 0.750)
Sb (0.250, 0.750, 0.250)
Sb (0.250, 0.750, 0.750)
Sb (0.750, 0.250, 0.250)
Sb (0.750, 0.250, 0.750)
Sb (0.750, 0.750, 0.250)
Sb (0.750, 0.750, 0.750)

Values from the calculation:
VASP energy = -53.22 eV per cell
Fermi-level density of states = 0.751 states/eV/atom


(15)
This record from Alexandria describes crystalline BaNa2Sb2 at its relaxed geometry. The functional is PBE-GGA.

a = 4.991 Å, b = 4.991 Å, c = 13.546 Å
α = 90.00°, β = 90.00°, γ = 90.00°
Element x y z (fractional)
Ba (0.000, 0.000, 0.000)
Ba (0.500, 0.500, 0.500)
Na (0.000, 0.500, 0.250)
Na (0.000, 0.500, 0.750)
Na (0.500, 0.000, 0.250)
Na (0.500, 0.000, 0.750)
Sb (0.000, 0.000, 0.393)
Sb (0.000, 0.000, 0.607)
Sb (0.500, 0.500, 0.107)
Sb (0.500, 0.500, 0.893)

Values from the calculation:
VASP energy = -31.88 eV per cell
Fermi-level density of states = 0.086 states/eV/atom


(16)
This record from Alexandria describes crystalline Ba12Na5Sb3 at its relaxed geometry. The functional is PBE-GGA.

a = 17.988 Å, b = 17.988 Å, c = 17.988 Å
α = 109.47°, β = 109.47°, γ = 109.47°
Element x y z (fractional)
Ba (0.066, 0.234, 0.134)
Ba (0.066, 0.332, 0.932)
Ba (0.068, 0.634, 0.400)
Ba (0.068, 0.934, 0.668)
Ba (0.100, 0.734, 0.668)
Ba (0.100, 0.866, 0.432)
Ba (0.134, 0.066, 0.234)
Ba (0.134, 0.568, 0.900)
Ba (0.168, 0.234, 0.600)
Ba (0.168, 0.434, 0.568)
Ba (0.234, 0.134, 0.066)
Ba (0.234, 0.600, 0.168)
Ba (0.266, 0.332, 0.900)
Ba (0.266, 0.434, 0.366)
Ba (0.332, 0.900, 0.266)
Ba (0.332, 0.932, 0.066)
Ba (0.366, 0.266, 0.434)
Ba (0.366, 0.600, 0.932)
Ba (0.400, 0.068, 0.634)
Ba (0.400, 0.832, 0.766)
Ba (0.432, 0.100, 0.866)
Ba (0.432, 0.832, 0.566)
Ba (0.434, 0.366, 0.266)
Ba (0.434, 0.568, 0.168)
Ba (0.566, 0.432, 0.832)
Ba (0.566, 0.634, 0.734)
Ba (0.568, 0.168, 0.434)
Ba (0.568, 0.900, 0.134)
Ba (0.600, 0.168, 0.234)
Ba (0.600, 0.932, 0.366)
Ba (0.634, 0.400, 0.068)
Ba (0.634, 0.734, 0.566)
Ba (0.668, 0.068, 0.934)
Ba (0.668, 0.100, 0.734)
Ba (0.734, 0.566, 0.634)
Ba (0.734, 0.668, 0.100)
Ba (0.766, 0.400, 0.832)
Ba (0.766, 0.866, 0.934)
Ba (0.832, 0.566, 0.432)
Ba (0.832, 0.766, 0.400)
Ba (0.866, 0.432, 0.100)
Ba (0.866, 0.934, 0.766)
Ba (0.900, 0.134, 0.568)
Ba (0.900, 0.266, 0.332)
Ba (0.932, 0.066, 0.332)
Ba (0.932, 0.366, 0.600)
Ba (0.934, 0.668, 0.068)
Ba (0.934, 0.766, 0.866)
Na (0.000, 0.000, 0.000)
Na (0.000, 0.000, 0.500)
Na (0.000, 0.500, 0.000)
Na (0.000, 0.500, 0.500)
Na (0.125, 0.750, 0.875)
Na (0.125, 0.875, 0.250)
Na (0.250, 0.125, 0.875)
Na (0.250, 0.625, 0.375)
Na (0.375, 0.250, 0.625)
Na (0.375, 0.625, 0.750)
Na (0.500, 0.000, 0.000)
Na (0.500, 0.000, 0.500)
Na (0.500, 0.500, 0.000)
Na (0.500, 0.500, 0.500)
Na (0.625, 0.375, 0.250)
Na (0.625, 0.750, 0.375)
Na (0.750, 0.375, 0.625)
Na (0.750, 0.875, 0.125)
Na (0.875, 0.125, 0.750)
Na (0.875, 0.250, 0.125)
Sb (0.125, 0.250, 0.375)
Sb (0.125, 0.375, 0.750)
Sb (0.250, 0.375, 0.125)
Sb (0.250, 0.875, 0.625)
Sb (0.375, 0.125, 0.250)
Sb (0.375, 0.750, 0.125)
Sb (0.625, 0.250, 0.875)
Sb (0.625, 0.875, 0.750)
Sb (0.750, 0.125, 0.375)
Sb (0.750, 0.625, 0.875)
Sb (0.875, 0.625, 0.250)
Sb (0.875, 0.750, 0.625)

Values from the calculation:
VASP energy = -173.42 eV per cell
Fermi-level density of states = 0.928 states/eV/atom


(17)
This record from Alexandria describes crystalline Ba3NaSb6 at its relaxed geometry. The functional is PBE-GGA.

a = 9.130 Å, b = 9.130 Å, c = 9.130 Å
α = 98.74°, β = 98.74°, γ = 98.74°
Element x y z (fractional)
Ba (0.185, 0.750, 0.315)
Ba (0.250, 0.685, 0.815)
Ba (0.315, 0.185, 0.750)
Ba (0.685, 0.815, 0.250)
Ba (0.750, 0.315, 0.185)
Ba (0.815, 0.250, 0.685)
Na (0.000, 0.000, 0.000)
Na (0.500, 0.500, 0.500)
Sb (0.016, 0.088, 0.382)
Sb (0.088, 0.382, 0.016)
Sb (0.118, 0.412, 0.484)
Sb (0.382, 0.016, 0.088)
Sb (0.412, 0.484, 0.118)
Sb (0.484, 0.118, 0.412)
Sb (0.516, 0.882, 0.588)
Sb (0.588, 0.516, 0.882)
Sb (0.618, 0.984, 0.912)
Sb (0.882, 0.588, 0.516)
Sb (0.912, 0.618, 0.984)
Sb (0.984, 0.912, 0.618)

Values from the calculation:
VASP energy = -76.16 eV per cell
Fermi-level density of states = 0.554 states/eV/atom


(18)
This record from Alexandria describes crystalline BaNa2Sb2 at its relaxed geometry. The functional is PBE-GGA.

a = 9.219 Å, b = 9.219 Å, c = 3.573 Å
α = 90.00°, β = 90.00°, γ = 90.00°
Element x y z (fractional)
Ba (0.000, 0.000, 0.000)
Ba (0.500, 0.500, 0.000)
Na (0.114, 0.386, 0.000)
Na (0.386, 0.886, 0.000)
Na (0.614, 0.114, 0.000)
Na (0.886, 0.614, 0.000)
Sb (0.183, 0.683, 0.500)
Sb (0.317, 0.183, 0.500)
Sb (0.683, 0.817, 0.500)
Sb (0.817, 0.317, 0.500)

Values from the calculation:
VASP energy = -30.94 eV per cell
Fermi-level density of states = 0.458 states/eV/atom


(19)
This record from Alexandria describes crystalline BaNaSb4 at its relaxed geometry. The functional is PBE-GGA.

a = 6.518 Å, b = 6.518 Å, c = 6.518 Å
α = 60.00°, β = 60.00°, γ = 60.00°
Element x y z (fractional)
Ba (0.000, 0.000, 0.000)
Na (0.750, 0.750, 0.750)
Sb (0.376, 0.376, 0.376)
Sb (0.376, 0.376, 0.871)
Sb (0.376, 0.871, 0.376)
Sb (0.871, 0.376, 0.376)

Values from the calculation:
VASP energy = -21.71 eV per cell
Fermi-level density of states = 1.364 states/eV/atom